[1]
Here is a relaxed Er4TcSb crystal from Alexandria via LeMat-Bulk. Energies are from PBE.

Results
Space-group type: C2/c
Energy relative to the elements, uncorrected in kJ/mol of formula units: -272
Total energy in eV/atom: -5.926
Calculated volume in A^3/atom: 27.29
Relative energy among the computed polymorphs in kcal/mol of atoms: 0.29

Lattice parameters (Å, degrees): 7.9735 7.9735 6.1470 103.66 103.66 112.32
Closest atoms and distances in Å follow each position.
Fractional coordinates of all 12 atoms:
Er: 0.0574 0.7197 0.9298  2 Tc 2.85-2.86, 1 Sb 3.19
Er: 0.2085 0.3494 0.6679  2 Tc 2.87-2.88, 1 Sb 3.18
Er: 0.2803 0.9426 0.5702  2 Tc 2.85-2.86, 1 Sb 3.19
Er: 0.3494 0.2085 0.1679  2 Tc 2.87-2.88, 1 Sb 3.18
Er: 0.6506 0.7915 0.8321  2 Tc 2.87-2.88, 1 Sb 3.18
Er: 0.7197 0.0574 0.4298  2 Tc 2.85-2.86, 1 Sb 3.19
Er: 0.7915 0.6506 0.3321  2 Tc 2.87-2.88, 1 Sb 3.18
Er: 0.9426 0.2803 0.0702  2 Tc 2.85-2.86, 1 Sb 3.19
Tc: 0.0009 0.9991 0.2500  8 Er 2.85-2.88, 2 Tc 3.07
Tc: 0.9991 0.0009 0.7500  8 Er 2.85-2.88, 2 Tc 3.07
Sb: 0.3726 0.6274 0.2500  8 Er 3.18-3.36
Sb: 0.6274 0.3726 0.7500  8 Er 3.18-3.36

[2]
Here is a relaxed SrDyPtO4 crystal from Alexandria via LeMat-Bulk. Energies are from PBE.

Results
Space-group type: Imma
Energy relative to the elements, uncorrected in kJ/mol of formula units: -1404
Total energy in eV/atom: -6.672
Calculated volume in A^3/atom: 16.06

Lattice parameters (Å, degrees): 6.8264 6.8264 6.8264 121.55 118.40 90.06
Closest atoms and distances in Å follow each position.
Fractional coordinates of all 14 atoms:
Sr: 0.3964 0.1464 0.2500  4 O 2.29-2.47
Sr: 0.6036 0.8536 0.7500  4 O 2.29-2.47
Dy: 0.0000 0.5000 0.5000  6 O 2.25-2.35
Dy: 0.5000 0.5000 0.0000  6 O 2.25-2.35
Pt: 0.0000 0.0000 0.5000  4 O 2.11
Pt: 0.0000 0.5000 0.0000  4 O 2.11
O: 0.1725 0.7388 0.4337  2 Pt 2.11, 1 Dy 2.35
O: 0.1949 0.2612 0.9337  2 Pt 2.11, 1 Dy 2.35
O: 0.2670 0.3054 0.5384  2 Dy 2.25, 1 Sr 2.29
O: 0.2670 0.7286 0.9616  2 Dy 2.25, 1 Sr 2.29
O: 0.7330 0.2714 0.0384  2 Dy 2.25, 1 Sr 2.29
O: 0.7330 0.6946 0.4616  2 Dy 2.25, 1 Sr 2.29
O: 0.8051 0.7388 0.0663  2 Pt 2.11, 1 Dy 2.35
O: 0.8275 0.2612 0.5663  2 Pt 2.11, 1 Dy 2.35

[3]
Here is a relaxed Al2CdFe crystal from Alexandria via LeMat-Bulk. Energies are from PBE.

Results
Space-group type: Immm
Energy of formation in eV per atom: 0.078
Total energy in eV/atom: -4.138
Calculated volume in A^3/atom: 15.83

Lattice parameters (Å, degrees): 5.2786 5.2786 5.2786 147.06 126.80 64.01
Closest atoms and distances in Å follow each position.
Fractional coordinates of all 4 atoms:
Al: 0.2177 0.2177 0.0000  2 Fe 2.46
Al: 0.7823 0.7823 0.0000  2 Fe 2.46
Cd: 0.5000 0.0000 0.5000  4 Fe 2.80, 8 Al 2.94-3.06, 2 Cd 2.99
Fe: 0.0000 0.5000 0.5000  4 Al 2.46

[4]
Here is a relaxed Be17NbCr crystal from Alexandria via LeMat-Bulk. Energies are from PBE.

Results
Space-group type: R3m
Energy of formation in eV per atom: -0.139
Total energy in eV/atom: -4.510
Calculated volume in A^3/atom: 8.66

Lattice parameters (Å, degrees): 5.5190 5.5190 5.5190 82.91 82.91 82.91
Closest atoms and distances in Å follow each position.
Fractional coordinates of all 19 atoms:
Be: 0.0539 0.0539 0.0539  7 Be 2.12-2.27
Be: 0.1513 0.4550 0.8595  8 Be 2.10-2.22
Be: 0.1513 0.8595 0.4550  8 Be 2.10-2.22
Be: 0.1597 0.1597 0.6522  10 Be 2.10-2.25
Be: 0.1597 0.6522 0.1597  10 Be 2.10-2.25
Be: 0.2528 0.2528 0.2528  7 Be 2.12-2.33
Be: 0.3088 0.8084 0.8084  9 Be 2.10-2.27
Be: 0.4550 0.1513 0.8595  8 Be 2.10-2.22
Be: 0.4550 0.8595 0.1513  8 Be 2.10-2.22
Be: 0.5047 0.5047 0.9907  9 Be 2.10-2.33
Be: 0.5047 0.9907 0.5047  9 Be 2.10-2.33
Be: 0.6522 0.1597 0.1597  10 Be 2.10-2.25
Be: 0.8084 0.3088 0.8084  9 Be 2.10-2.27
Be: 0.8084 0.8084 0.3088  9 Be 2.10-2.27
Be: 0.8595 0.1513 0.4550  8 Be 2.10-2.22
Be: 0.8595 0.4550 0.1513  8 Be 2.10-2.22
Be: 0.9907 0.5047 0.5047  9 Be 2.10-2.33
Nb: 0.4932 0.4932 0.4932  19 Be 2.57-2.76
Cr: 0.8193 0.8193 0.8193  13 Be 2.50-2.69

[5]
Here is a relaxed YZrHg2 crystal from Alexandria via LeMat-Bulk. Energies are from PBE.

Results
Space-group type: Fm-3m
Energy of formation in eV per atom: -0.270
Total energy in eV/atom: -4.174
Calculated volume in A^3/atom: 23.84
Relative energy among the computed polymorphs in kcal/mol of atoms: 0.24

Lattice parameters (Å, degrees): 5.1283 5.1283 5.1283 60.00 60.00 60.00
Closest atoms and distances in Å follow each position.
Fractional coordinates of all 4 atoms:
Y: 0.0000 0.0000 0.0000  8 Hg 3.14
Zr: 0.5000 0.5000 0.5000  8 Hg 3.14
Hg: 0.2500 0.2500 0.2500  4 Zr 3.14, 4 Y 3.14
Hg: 0.7500 0.7500 0.7500  4 Zr 3.14, 4 Y 3.14

[6]
Here is a relaxed SrSnTe3 crystal from Alexandria via LeMat-Bulk. Energies are from PBE.

Results
Space-group type: Pm-3m
Energy relative to the elements, uncorrected in kJ/mol of formula units: 85
Total energy in eV/atom: -2.846
Calculated volume in A^3/atom: 44.66
Relative energy among the computed polymorphs in kcal/mol of atoms: 13.47

Lattice parameters (Å, degrees): 6.0667 6.0667 6.0667 90.00 90.00 90.00
Closest atoms and distances in Å follow each position.
Fractional coordinates of all 5 atoms:
Sr: 0.0000 0.0000 0.0000  6 Te 3.03
Sn: 0.5000 0.5000 0.5000  12 Te 4.29
Te: 0.0000 0.0000 0.5000  2 Sr 3.03
Te: 0.0000 0.5000 0.0000  2 Sr 3.03
Te: 0.5000 0.0000 0.0000  2 Sr 3.03

What is the calculated volume in the second record? 16.06 A^3/atom